A plane-wave DFT calculation with PBE-GGA was carried out for a relaxed structure of Nb2PdN.

Computed properties:
Energy relative to the elements, uncorrected ... -590.6 meV per atom

a = 3.1146 Å, b = 3.1146 Å, c = 7.1027 Å
α = 77.33°, β = 77.33°, γ = 60.00°
Last column: nearest neighbours and their distance in Å.
Positions (direct):
Pd  0.4994  0.4994  0.5017  6 Nb 2.85-2.88, 6 Pd 3.11
Nb  0.0589  0.0589  0.8234  3 N 2.17
Nb  0.2749  0.2749  0.1752  3 N 2.17
N  0.6668  0.6668  0.9997  6 Nb 2.17

A plane-wave DFT calculation with PBE-GGA was carried out for a relaxed structure of NbPd2N.

Computed properties:
Energy relative to the elements, uncorrected ... 226.2 meV per atom

a = 7.5195 Å, b = 7.5195 Å, c = 5.7249 Å
α = 48.95°, β = 48.95°, γ = 90.00°
Last column: nearest neighbours and their distance in Å.
Positions (direct):
Pd  0.2352  0.6250  0.2500  2 N 2.22
Nb  0.0000  0.0000  0.0000  2 N 2.12
N  0.2500  0.7500  0.5000  2 Nb 2.12, 4 Pd 2.22
Pd  0.3750  0.4852  0.7500  2 N 2.22
N  0.5000  0.5000  0.0000  2 Nb 2.12, 4 Pd 2.22
Pd  0.5148  0.1250  0.2500  2 N 2.22
Pd  0.8750  0.7648  0.7500  2 N 2.22
Nb  0.7500  0.2500  0.5000  2 N 2.12

A plane-wave DFT calculation with PBE-GGA was carried out for a relaxed structure of NbPd3N.

Computed properties:
Energy relative to the elements, uncorrected ... 412.8 meV per atom

a = 4.1975 Å, b = 4.1975 Å, c = 4.1975 Å
α = 90.00°, β = 90.00°, γ = 90.00°
Last column: nearest neighbours and their distance in Å.
Positions (direct):
Pd  0.0000  0.5000  0.0000  2 N 2.10
Pd  0.5000  0.0000  0.0000  2 N 2.10
Nb  0.5000  0.5000  0.5000  12 Pd 2.97
N  0.0000  0.0000  0.0000  6 Pd 2.10
Pd  0.0000  0.0000  0.5000  2 N 2.10

A plane-wave DFT calculation with PBE-GGA was carried out for a relaxed structure of Nb2PdN.

Computed properties:
Energy relative to the elements, uncorrected ... -679.1 meV per atom

a = 3.0871 Å, b = 4.4113 Å, c = 8.4215 Å
α = 90.00°, β = 100.56°, γ = 90.00°
Last column: nearest neighbours and their distance in Å.
Positions (direct):
Pd  0.9544  0.2500  0.9102  2 Pd 2.66, 7 Nb 2.77-2.89
Nb  0.6036  0.2500  0.2055  2 N 2.18
Pd  0.0456  0.7500  0.0898  2 Pd 2.66, 7 Nb 2.77-2.89
Nb  0.3964  0.7500  0.7945  2 N 2.18
Nb  0.2124  0.7500  0.4240  4 N 2.17-2.22
N  0.8042  0.7500  0.6093  6 Nb 2.17-2.22
N  0.1958  0.2500  0.3907  6 Nb 2.17-2.22
Nb  0.7876  0.2500  0.5760  4 N 2.17-2.22

Number 1: spin magnetization 0.00 μB/atom. Number 2: spin magnetization 0.00 μB/atom. Number 3: spin magnetization 0.40 μB/atom. Number 4: spin magnetization 0.00 μB/atom.